Below is an optimized crystal structure of ReRu2Rh, with properties calculated at the PBE level.

Output
Energy relative to the elements: 0.10 eV/f.u.
Energy above the lowest structure with this stoichiometry: 0.44 eV/f.u.
Space group: C2/m, No. 12
Total energy: -38.26 eV for the cell shown

Lattice parameters (Å, degrees): 4.701 4.701 4.743 99.57 99.57 33.53
Positions (direct):
Re: 0.000 0.000 0.000
Ru: 0.253 0.253 0.757
Ru: 0.747 0.747 0.243
Rh: 0.500 0.500 0.500